(1)
Below is a relaxed structure of RbCuSeBr2, with properties calculated at the PBE-GGA level.

Values from the calculation:
The calculation puts the energy relative to the elements, uncorrected at 0.56 eV/atom. For the energy above the most stable polymorph in this dataset, the calculation gives 546.6 kJ/mol of formula units. The volume is 50.8 Å³ per atom. Its space-group type is P4/mmm, No. 123. The calculated total energy comes out at -9.07 eV per cell.

Cell lengths 6.379, 6.379, 6.241 Å; angles 90.00, 90.00, 90.00 degrees
Sites, in units of the cell vectors:
1 Cu 0.500 0.500 0.500
2 Se 0.000 0.000 0.500
3 Br 0.000 0.500 0.000
4 Br 0.500 0.000 0.000
5 Rb 0.000 0.000 0.000

---

(2)
Below is a relaxed structure of Pm3Mg2Si4, with properties calculated at the PBE-GGA level.

Values from the calculation:
The calculation puts the energy relative to the elements, uncorrected at -0.51 eV/atom. The volume is 22.5 Å³ per atom. Its space-group type is C2/m, No. 12. The calculated total energy comes out at -43.71 eV per cell.

Cell lengths 4.174, 5.823, 8.956 Å; angles 94.74, 90.00, 111.00 degrees
Sites, in units of the cell vectors:
1 Pm 0.367 0.734 0.619
2 Pm 0.000 0.000 0.000
3 Pm 0.633 0.266 0.381
4 Mg 0.334 0.668 0.232
5 Mg 0.666 0.332 0.768
6 Si 0.708 0.417 0.067
7 Si 0.073 0.145 0.610
8 Si 0.927 0.855 0.390
9 Si 0.292 0.583 0.933

---

(3)
Below is a relaxed structure of Y2CF, with properties calculated at the PBE-GGA level.

Values from the calculation:
The calculation puts the energy relative to the elements, uncorrected at -1.01 eV/atom. For the energy above the most stable polymorph in this dataset, the calculation gives 216.7 kJ/mol of formula units. The volume is 14.9 Å³ per atom. Its space-group type is Fm-3m, No. 225. The calculated total energy comes out at -28.06 eV per cell.

Cell lengths 4.382, 4.382, 4.382 Å; angles 60.00, 60.00, 60.00 degrees
Sites, in units of the cell vectors:
1 Y 0.250 0.250 0.250
2 Y 0.750 0.750 0.750
3 C 0.000 0.000 0.000
4 F 0.500 0.500 0.500